Compound: TbPr5Cd3
Source: Alexandria via LeMat-Bulk
Functional: PBE
Structure: relaxed

Lattice parameters (Å, degrees): 7.093 9.525 9.524 120.00 90.00 90.00
Sites, in units of the cell vectors:
Pr1 0.250 0.000 0.665
Pr2 0.500 0.333 0.667
Pr3 0.750 0.665 0.665
Pr4 0.500 0.667 0.333
Pr5 0.750 0.000 0.335
Pr6 0.250 0.665 0.000
Pr7 0.250 0.335 0.335
Pr8 0.000 0.667 0.333
Pr9 0.750 0.335 0.000
Pr10 0.000 0.333 0.667
Cd1 0.250 0.327 0.000
Cd2 0.250 0.000 0.327
Cd3 0.750 0.000 0.673
Cd4 0.250 0.673 0.673
Cd5 0.750 0.673 0.000
Cd6 0.750 0.327 0.327
Tb1 0.000 0.000 0.000
Tb2 0.500 0.000 0.000

Summary:
raw total energy = -65.7 eV per cell
energy of formation = -17 kJ per mole of atoms

Compound: LiW2
Source: Alexandria via LeMat-Bulk
Functional: PBE
Structure: relaxed

Lattice parameters (Å, degrees): 4.869 4.869 4.869 102.35 102.35 124.90
Sites, in units of the cell vectors:
W1 0.836 0.336 0.172
W2 0.664 0.836 0.500
W3 0.336 0.164 0.500
W4 0.164 0.664 0.828
Li1 0.250 0.250 0.000
Li2 0.750 0.750 0.000

Summary:
energy above the most stable polymorph in this dataset = 316.9 meV per atom
raw total energy = -51.6 eV per cell
energy of formation = 66 kJ per mole of atoms

Compound: Sm2Al4Cu3Pt
Source: Alexandria via LeMat-Bulk
Functional: PBE
Structure: relaxed

Lattice parameters (Å, degrees): 4.193 4.193 10.316 90.00 90.00 90.00
Sites, in units of the cell vectors:
Al1 0.500 0.000 0.631
Al2 0.500 0.500 0.000
Al3 0.000 0.000 0.000
Al4 0.000 0.500 0.369
Sm1 0.500 0.000 0.250
Sm2 0.000 0.500 0.750
Pt1 0.500 0.500 0.500
Cu1 0.000 0.000 0.500
Cu2 0.000 0.500 0.132
Cu3 0.500 0.000 0.868

Summary:
raw total energy = -48.6 eV per cell
energy of formation = -56 kJ per mole of atoms